A plane-wave DFT calculation with PBE was carried out for a relaxed Gd2YAl crystal.

Calculated values
Energy of formation from the pure elements: -0.2 eV/f.u.
V: 110.3 Å³/f.u.
Size of the total moment: 61.85 μB/cell

Cell: 7.6134 7.6134 7.6134 Å, 90.00 90.00 90.00°
Closest atoms and distances in Å follow each position.
Space group Fm-3m (No. 225)
Inequivalent atoms, fractional coordinates:
Gd1 0.2500 0.2500 0.2500 x8  4 Al 3.30, 4 Y 3.30
Y1 0.0000 0.0000 0.0000 x4  8 Gd 3.30
Al1 0.0000 0.0000 0.5000 x4  8 Gd 3.30